Entry 1:
Material: BaAgW3
Method: DFT, PBE-GGA
State: relaxed

symmetry = Pm-3m, No. 221
energy relative to the lowest polymorph listed for this composition = 0 meV/atom

a = 5.0487 Å, b = 5.0487 Å, c = 5.0487 Å
α = 90.00°, β = 90.00°, γ = 90.00°
Fractional coordinates of all 5 atoms:
Ba 0.0000 0.0000 0.0000
Ag 0.5000 0.5000 0.5000
W 0.0000 0.5000 0.5000
W 0.5000 0.0000 0.5000
W 0.5000 0.5000 0.0000

Entry 2:
Material: LiSn3Pd2
Method: DFT, PBE-GGA
State: relaxed

symmetry = Cmmm, No. 65
energy relative to the lowest polymorph listed for this composition = 38 meV/atom

a = 8.5581 Å, b = 8.5581 Å, c = 4.1671 Å
α = 90.00°, β = 90.00°, γ = 155.74°
Fractional coordinates of all 6 atoms:
Li 0.0000 0.0000 0.0000
Sn 0.3305 0.6695 0.0000
Sn 0.5000 0.5000 0.5000
Sn 0.6695 0.3305 0.0000
Pd 0.1230 0.8770 0.5000
Pd 0.8770 0.1230 0.5000

Entry 3:
Material: Ce3Zn7Rh2
Method: DFT, PBE-GGA
State: relaxed

symmetry = R-3m, No. 166

a = 9.4056 Å, b = 9.4056 Å, c = 9.4056 Å
α = 33.09°, β = 33.09°, γ = 33.09°
Fractional coordinates of all 12 atoms:
Ce 0.0000 0.0000 0.0000
Ce 0.1529 0.1529 0.1529
Ce 0.8471 0.8471 0.8471
Zn 0.0823 0.5782 0.5782
Zn 0.4218 0.4218 0.9177
Zn 0.4218 0.9177 0.4218
Zn 0.5000 0.5000 0.5000
Zn 0.5782 0.0823 0.5782
Zn 0.5782 0.5782 0.0823
Zn 0.9177 0.4218 0.4218
Rh 0.3338 0.3338 0.3338
Rh 0.6662 0.6662 0.6662

Entry 4:
Material: PrHo5Mg6
Method: DFT, PBE-GGA
State: relaxed

symmetry = Cmmm, No. 65

a = 8.4986 Å, b = 8.4986 Å, c = 7.5870 Å
α = 90.00°, β = 90.00°, γ = 143.18°
Fractional coordinates of all 12 atoms:
Pr 0.0000 0.0000 0.0000
Ho 0.0000 0.0000 0.5000
Ho 0.3315 0.6685 0.0000
Ho 0.3348 0.6652 0.5000
Ho 0.6652 0.3348 0.5000
Ho 0.6685 0.3315 0.0000
Mg 0.1686 0.8314 0.2533
Mg 0.1686 0.8314 0.7467
Mg 0.5000 0.5000 0.2537
Mg 0.5000 0.5000 0.7463
Mg 0.8314 0.1686 0.2533
Mg 0.8314 0.1686 0.7467

Computed energy of formation from the pure elements, in the same sequence as the records: 2654, -294, -360, -79 meV/atom.
Computed magnetic moment, in the same sequence as the records: 0.969, 0.000, 0.149, 0.000 μB per atom.